Computed, not measured: a relaxed HoTi4Rh5 crystal at the PBE-GGA level of DFT.

Summary:
Total energy, eV per formula unit: -80.598
Energy relative to the elements, eV/atom: -0.768

```
data_HoTi4Rh5
_chemical_formula_sum 'Ho1 Ti4 Rh5'
_cell_length_a 3.119
_cell_length_b 3.119
_cell_length_c 16.433
_cell_angle_alpha 90.00
_cell_angle_beta 90.00
_cell_angle_gamma 90.00
_symmetry_space_group_name_H-M 'P 4/m m m'
_symmetry_Int_Tables_number 123
_symmetry_space_group_name_Hall '-P 4 2'
loop_
_atom_site_label
_atom_site_fract_x
_atom_site_fract_y
_atom_site_fract_z
Ho1 0.000 0.000 0.000
Ti1 0.000 0.000 0.215
Ti2 0.000 0.000 0.406
Rh1 0.500 0.500 0.129
Rh2 0.500 0.500 0.314
Rh3 0.500 0.500 0.500
```